Run a
The following is a PBE calculation of a relaxed NbIn2Sn2 crystal, from Alexandria.

Structure (POSCAR):
```
NbIn2Sn2
1.0
-2.021 2.021 8.037
2.021 -2.021 8.037
2.021 2.021 -8.037
Nb In Sn
1 2 2
Direct
0.000 0.000 0.000
0.413 0.413 0.000
0.587 0.587 0.000
0.250 0.750 0.500
0.750 0.250 0.500
```

## Properties
As for the magnetization: 0.266 μB per atom. Its symmetry is No. 139. The calculation puts the density of states at the Fermi level at 4.6 states/eV per cell.

Run b
The following is a PBE calculation of a relaxed NbIn2Sn2 crystal, from Alexandria.

Structure (POSCAR):
```
NbIn2Sn2
1.0
7.670 0.000 0.000
0.000 7.670 0.000
0.000 0.000 4.124
Nb In Sn
2 4 4
Direct
0.000 0.000 0.000
0.500 0.500 0.000
0.139 0.361 0.000
0.361 0.861 0.000
0.639 0.139 0.000
0.861 0.639 0.000
0.169 0.669 0.500
0.331 0.169 0.500
0.669 0.831 0.500
0.831 0.331 0.500
```

## Properties
As for the magnetization: 0.000 μB per atom. Its symmetry is No. 127. The calculation puts the density of states at the Fermi level at 9.6 states/eV per cell.

Which structure loses on stability? run a does.